Below is a geometry-optimized Na2VHgO4 structure, with properties calculated at the PBE+U level.

Properties
Electronic total energy = -5.2223 eV/atom
N(E_F) = 4.33 states/eV/cell

Cell lengths 5.489, 5.489, 5.489 Å; angles 107.89, 110.27, 110.27 degrees
Fractional positions:
Na: 0.500 0.750 0.250
Na: 0.000 0.000 0.000
V: 0.000 0.500 0.500
Hg: 0.500 0.250 0.750
O: 0.682 0.516 0.489
O: 0.973 0.166 0.484
O: 0.027 0.511 0.193
O: 0.318 0.807 0.834